# ZrZn2MoF GGA+U relaxed
data_ZrZn2MoF
_chemical_formula_sum 'Zr1 Zn2 Mo1 F1'
_cell_length_a 4.347
_cell_length_b 4.347
_cell_length_c 4.269
_cell_angle_alpha 90.00
_cell_angle_beta 90.00
_cell_angle_gamma 90.00
_symmetry_space_group_name_H-M 'P 4/m m m'
_symmetry_Int_Tables_number 123
_symmetry_space_group_name_Hall '-P 4 2'
loop_
_atom_site_label
_atom_site_type_symbol
_atom_site_fract_x
_atom_site_fract_y
_atom_site_fract_z
Zr1 Zr 0.000 0.000 0.000
Zn1 Zn 0.000 0.500 0.500
Mo1 Mo 0.500 0.500 0.000
F1 F 0.000 0.000 0.500
# Total energy: -4.11 eV/atom
# Total magnetization: 0.0 μB per formula unit